(1)
Material: Ta2ZnRuO
Method: DFT, PBE
State: relaxed

N(E_F), states/eV/cell: 6.07
ΔE_f (raw), eV/atom: 1.9127
Electronic total energy, eV per cell: -29.65
Space group: P4/mmm (123)
Total magnetization, μB per atom: 0.000

The structure in POSCAR format:
```
Ta2ZnRuO
1.0
4.704 0.000 0.000
0.000 4.704 0.000
0.000 0.000 4.380
Ta Zn Ru O
2 1 1 1
Direct
0.000 0.500 0.000
0.500 0.000 0.000
0.000 0.000 0.000
0.000 0.000 0.500
0.500 0.500 0.500
```

=====

(2)
Material: Tb3RuO7
Method: DFT, PBE
State: relaxed

N(E_F), states/eV/cell: 1.10
ΔE_f (raw), eV/atom: -2.7420
Energy above the most stable polymorph in this dataset, eV per atom: 0.000
Electronic total energy, eV per cell: -176.07
Space group: C222_1 (20)
Total magnetization, μB per atom: 0.273

The structure in POSCAR format:
```
Tb3RuO7
1.0
3.777 -5.271 0.000
3.777 5.271 0.000
0.000 0.000 7.438
Tb Ru O
6 2 14
Direct
0.031 0.031 0.000
0.037 0.499 0.257
0.499 0.037 0.743
0.501 0.963 0.243
0.963 0.501 0.757
0.969 0.969 0.500
0.500 0.500 0.000
0.500 0.500 0.500
0.130 0.870 0.750
0.138 0.862 0.250
0.175 0.420 0.975
0.192 0.443 0.538
0.420 0.175 0.025
0.430 0.570 0.250
0.443 0.192 0.462
0.557 0.808 0.962
0.570 0.430 0.750
0.580 0.825 0.525
0.808 0.557 0.038
0.825 0.580 0.475
0.862 0.138 0.750
0.870 0.130 0.250
```

=====

Question: Among the records above, which one has the lowest electronic total energy?
Answer: Tb3RuO7